1.
First-principles (PBE) data for crystalline Ir2PtAu at its relaxed geometry, as listed in Alexandria via LeMat-Bulk.

abc: 4.842 4.842 4.842
angles: 131.52 131.52 70.99
Sites, in units of the cell vectors:
1 Ir 0.000 0.000 0.000
2 Ir 0.750 0.250 0.500
3 Pt 0.250 0.750 0.500
4 Au 0.500 0.500 0.000

Computed properties:
SG: I-4m2 (119)
Energy of formation, eV per atom: 0.28
Excess energy over the best structure of this formula in the dataset, meV per atom: 169
Crystal system: tetragonal

---

2.
First-principles (PBE) data for crystalline AlBiTe2 at its relaxed geometry, as listed in Alexandria via LeMat-Bulk.

abc: 9.609 9.609 9.609
angles: 23.84 23.84 23.84
Sites, in units of the cell vectors:
1 Al 0.000 0.000 0.000
2 Bi 0.500 0.500 0.500
3 Te 0.389 0.389 0.389
4 Te 0.611 0.611 0.611

Computed properties:
SG: R-3m (166)
Energy relative to the elements, uncorrected, eV per atom: -0.183
Crystal system: trigonal

---

3.
First-principles (PBE) data for crystalline KYO2 at its relaxed geometry, as listed in Alexandria via LeMat-Bulk.

abc: 4.243 4.243 4.243
angles: 60.00 60.00 60.00
Sites, in units of the cell vectors:
1 K 0.000 0.000 0.000
2 Y 0.500 0.500 0.500
3 O 0.250 0.250 0.250
4 O 0.750 0.750 0.750

Computed properties:
SG: Fm-3m (225)
Energy relative to the elements, uncorrected, eV per atom: -2.023
Crystal system: cubic

---

4.
First-principles (PBE) data for crystalline ZnSnIr2C at its relaxed geometry, as listed in Alexandria via LeMat-Bulk.

abc: 4.925 4.925 4.897
angles: 90.00 90.00 90.00
Sites, in units of the cell vectors:
1 Zn 0.000 0.000 0.000
2 Sn 0.000 0.000 0.500
3 Ir 0.000 0.500 0.500
4 Ir 0.500 0.000 0.500
5 C 0.500 0.500 0.000

Computed properties:
SG: P4/mmm (123)
Energy of formation, eV per atom: 2.75
Crystal system: tetragonal

---

5.
First-principles (PBE) data for crystalline AcPr2PuS4 at its relaxed geometry, as listed in Alexandria via LeMat-Bulk.

abc: 7.156 4.110 7.176
angles: 90.00 109.25 90.00
Sites, in units of the cell vectors:
1 Ac 0.000 0.000 0.000
2 Pr 0.500 0.000 0.500
3 Pr 0.500 0.500 0.000
4 Pu 0.000 0.500 0.500
5 S 0.245 0.000 0.738
6 S 0.254 0.500 0.262
7 S 0.746 0.500 0.738
8 S 0.755 0.000 0.262

Computed properties:
SG: P2/m (10)
Energy relative to the elements, uncorrected, eV per atom: -1.941
Crystal system: monoclinic

---

6.
First-principles (PBE) data for crystalline PmMgInSn at its relaxed geometry, as listed in Alexandria via LeMat-Bulk.

abc: 4.525 4.686 4.794
angles: 90.00 90.00 90.00
Sites, in units of the cell vectors:
1 Pm 0.000 0.000 0.000
2 Mg 0.000 0.500 0.500
3 In 0.500 0.000 0.500
4 Sn 0.500 0.500 0.000

Computed properties:
SG: Pmmm (47)
Energy of formation, eV per atom: -0.50
Excess energy over the best structure of this formula in the dataset, meV per atom: 0
Crystal system: orthorhombic

---

The evaluated E_tot for the records listed, in turn: -25.9 -14.6 -25.6 -18.5 -60.0 -15.1 eV for the cell shown.
The evaluated magnetic moment for the records listed, in turn: 0.0 0.0 0.0 0.5 5.7 0.0 μB/cell.